Below is crystalline Ca2Cu4Ni3 at its relaxed geometry, with properties calculated at the PBE-GGA level.

Cell lengths 4.8872, 5.0547, 6.7458 Å; angles 79.91, 68.76, 61.09 degrees
Last column: nearest neighbours and their distance in Å.
Element x y z (fractional)
Ni1 0.0000 0.0000 0.0000  4 Ni 2.53, 4 Cu 2.61
Ni2 0.5000 0.5000 0.0000  4 Ni 2.44-2.53, 4 Cu 2.49
Ni3 0.0000 0.5000 0.0000  4 Ni 2.44-2.53, 4 Cu 2.49
Cu1 0.9868 0.3563 0.6700  3 Cu 2.49-2.75, 3 Ni 2.49-2.61
Cu2 0.0132 0.6437 0.3300  3 Cu 2.49-2.75, 3 Ni 2.49-2.61
Cu3 0.6569 0.3563 0.3300  3 Cu 2.49-2.75, 3 Ni 2.49-2.61
Cu4 0.3431 0.6437 0.6700  3 Cu 2.49-2.75, 3 Ni 2.49-2.61
Ca1 0.6309 0.0000 0.7382  8 Cu 2.88-3.01, 6 Ni 2.95-3.02
Ca2 0.3691 0.0000 0.2618  8 Cu 2.88-3.01, 6 Ni 2.95-3.02

Values from the calculation:
Mass density   6.2 g/cm³
DFT formation energy   -0.1229 eV per atom
DOS at the Fermi energy   4.48 states/eV/f.u.